[1]
## Nd4GeIr3 (GGA-PBE)

Data for an optimized crystal structure of Nd4GeIr3.

Cell lengths 4.176, 4.273, 10.800 Å; angles 90.00, 90.00, 90.00 degrees
Fractional coordinates of all 8 atoms:
Ge 0.500 0.500 0.069
Ir 0.000 0.500 0.577
Ir 0.000 0.000 0.420
Ir 0.500 0.000 0.930
Nd 0.500 0.500 0.362
Nd 0.000 0.500 0.853
Nd 0.000 0.000 0.144
Nd 0.500 0.000 0.645

Properties
Formation enthalpy at 0 K = -689 meV per atom
Calculated total energy = -6.9730 eV per atom
Size of the total moment = 0.00 μB per cell

***

[2]
## Nd4Ge6Ir7 (GGA-PBE)

Data for an optimized crystal structure of Nd4Ge6Ir7.

Cell lengths 7.419, 7.419, 7.419 Å; angles 109.47, 109.47, 109.47 degrees
Fractional coordinates of all 17 atoms:
Nd 0.500 0.000 0.000
Nd 0.500 0.500 0.500
Nd 0.000 0.500 0.000
Nd 0.000 0.000 0.500
Ge 0.675 0.000 0.675
Ge 0.675 0.675 0.000
Ge 0.000 0.325 0.325
Ge 0.325 0.000 0.325
Ge 0.325 0.325 0.000
Ge 0.000 0.675 0.675
Ir 0.750 0.500 0.250
Ir 0.250 0.750 0.500
Ir 0.500 0.750 0.250
Ir 0.750 0.250 0.500
Ir 0.250 0.500 0.750
Ir 0.500 0.250 0.750
Ir 0.000 0.000 0.000

Properties
Formation enthalpy at 0 K = -760 meV per atom
Calculated total energy = -7.1597 eV per atom
Size of the total moment = 0.00 μB per cell

***

[3]
## NdGeIr (GGA-PBE)

Data for an optimized crystal structure of NdGeIr.

Cell lengths 4.472, 7.223, 7.572 Å; angles 90.00, 90.00, 90.00 degrees
Fractional coordinates of all 12 atoms:
Ge 0.250 0.821 0.086
Ge 0.250 0.321 0.414
Ge 0.750 0.179 0.914
Ge 0.750 0.679 0.586
Ir 0.250 0.197 0.089
Ir 0.250 0.697 0.411
Ir 0.750 0.303 0.589
Ir 0.750 0.803 0.911
Nd 0.750 0.515 0.197
Nd 0.250 0.985 0.697
Nd 0.750 0.015 0.303
Nd 0.250 0.485 0.803

Properties
Formation enthalpy at 0 K = -819 meV per atom
Calculated total energy = -6.9011 eV per atom
Size of the total moment = 0.00 μB per cell

***

[4]
## NdGe12Ir4 (GGA-PBE)

Data for an optimized crystal structure of NdGe12Ir4.

Cell lengths 7.529, 7.529, 7.529 Å; angles 109.47, 109.47, 109.47 degrees
Fractional coordinates of all 17 atoms:
Nd 0.000 0.000 0.000
Ge 0.847 0.349 0.196
Ge 0.349 0.502 0.153
Ge 0.804 0.153 0.651
Ge 0.349 0.196 0.847
Ge 0.196 0.847 0.349
Ge 0.651 0.498 0.847
Ge 0.502 0.153 0.349
Ge 0.498 0.847 0.651
Ge 0.651 0.804 0.153
Ge 0.847 0.651 0.498
Ge 0.153 0.349 0.502
Ge 0.153 0.651 0.804
Ir 0.000 0.500 0.000
Ir 0.500 0.000 0.000
Ir 0.500 0.500 0.500
Ir 0.000 0.000 0.500

Properties
Formation enthalpy at 0 K = -234 meV per atom
Calculated total energy = -5.8585 eV per atom
Size of the total moment = 0.00 μB per cell

***

[5]
## NdGe2Ir4 (GGA-PBE)

Data for an optimized crystal structure of NdGe2Ir4.

Cell lengths 3.957, 7.789, 7.789 Å; angles 90.00, 90.00, 90.00 degrees
Fractional coordinates of all 14 atoms:
Ge 0.000 0.226 0.774
Ge 0.000 0.774 0.226
Ge 0.500 0.726 0.726
Ge 0.500 0.274 0.274
Ir 0.000 0.078 0.343
Ir 0.000 0.922 0.657
Ir 0.500 0.157 0.578
Ir 0.500 0.843 0.422
Ir 0.500 0.422 0.843
Ir 0.500 0.578 0.157
Ir 0.000 0.343 0.078
Ir 0.000 0.657 0.922
Nd 0.500 0.000 0.000
Nd 0.000 0.500 0.500

Properties
Formation enthalpy at 0 K = -534 meV per atom
Calculated total energy = -7.5975 eV per atom
Size of the total moment = 0.00 μB per cell

***

[6]
## NdGe4Ir6 (GGA-PBE)

Data for an optimized crystal structure of NdGe4Ir6.

Cell lengths 3.947, 7.233, 7.233 Å; angles 120.00, 90.00, 90.00 degrees
Fractional coordinates of all 11 atoms:
Nd 0.000 0.000 0.000
Ge 0.500 0.805 0.609
Ge 0.500 0.391 0.195
Ge 0.500 0.805 0.195
Ge 0.000 0.333 0.667
Ir 0.000 0.534 0.068
Ir 0.500 0.600 0.800
Ir 0.000 0.534 0.466
Ir 0.000 0.932 0.466
Ir 0.500 0.200 0.800
Ir 0.500 0.200 0.400

Properties
Formation enthalpy at 0 K = -496 meV per atom
Calculated total energy = -7.4413 eV per atom
Size of the total moment = 0.00 μB per cell

***

[7]
## Nd2Ge4Ir5 (GGA-PBE)

Data for an optimized crystal structure of Nd2Ge4Ir5.

Cell lengths 5.690, 5.656, 7.991 Å; angles 79.68, 69.14, 59.80 degrees
Fractional coordinates of all 11 atoms:
Nd 0.875 0.000 0.249
Nd 0.125 0.000 0.751
Ge 0.472 0.317 0.740
Ge 0.528 0.683 0.260
Ge 0.212 0.317 0.260
Ge 0.788 0.683 0.740
Ir 0.500 0.000 0.000
Ir 0.000 0.500 0.000
Ir 0.500 0.500 0.000
Ir 0.250 0.500 0.500
Ir 0.750 0.500 0.500

Properties
Formation enthalpy at 0 K = -626 meV per atom
Calculated total energy = -7.1996 eV per atom
Size of the total moment = 0.00 μB per cell

***

[8]
## Nd6Ge2Ir (GGA-PBE)

Data for an optimized crystal structure of Nd6Ge2Ir.

Cell lengths 6.490, 8.152, 10.207 Å; angles 90.00, 90.88, 90.00 degrees
Fractional coordinates of all 18 atoms:
Nd 0.867 0.963 0.242
Nd 0.850 0.678 0.558
Nd 0.861 0.674 0.936
Nd 0.639 0.174 0.564
Nd 0.650 0.178 0.942
Nd 0.633 0.463 0.258
Nd 0.133 0.037 0.758
Nd 0.150 0.322 0.442
Nd 0.139 0.326 0.064
Nd 0.361 0.826 0.436
Nd 0.350 0.822 0.058
Nd 0.367 0.537 0.742
Ge 0.928 0.384 0.746
Ge 0.572 0.884 0.754
Ge 0.428 0.116 0.246
Ge 0.072 0.616 0.254
Ir 0.500 0.500 0.000
Ir 0.000 0.000 0.500

Properties
Formation enthalpy at 0 K = -506 meV per atom
Calculated total energy = -5.6951 eV per atom
Size of the total moment = 0.00 μB per cell

***

> Among the records above, which one has the highest calculated total energy?

Nd6Ge2Ir

***

> formation enthalpy at 0 K of number 8 (Nd6Ge2Ir)?

-506 meV per atom